First-principles (PBE+U) data for an optimized crystal structure of Li8FeO5F, as listed in Alexandria.

Output
relative energy among the computed polymorphs	0	meV per atom
total magnetization	5.0	μB/f.u.
crystal system	hexagonal
energy	-5.114	eV/atom
space-group type	P6_3 (173)

The structure in POSCAR format:
```
Li8FeO5F
1.0
-4.883 2.773 0.114
0.403 -5.076 2.371
2.869 4.661 9.489
Fe Li O F
2 16 10 2
Direct
0.000 0.000 0.495
0.000 0.000 0.995
0.624 0.608 0.623
0.333 0.667 0.418
0.285 0.972 0.276
0.715 0.028 0.776
0.667 0.333 0.918
0.608 0.984 0.123
0.376 0.392 0.123
0.984 0.376 0.623
0.392 0.016 0.623
0.972 0.686 0.776
0.016 0.624 0.123
0.028 0.314 0.276
0.333 0.667 0.931
0.686 0.715 0.276
0.314 0.285 0.776
0.667 0.333 0.431
0.000 0.000 0.675
0.323 0.324 0.950
0.677 0.676 0.450
0.001 0.677 0.950
0.999 0.323 0.450
0.324 0.001 0.450
0.333 0.667 0.214
0.667 0.333 0.714
0.676 0.999 0.950
0.000 0.000 0.175
0.333 0.667 0.706
0.667 0.333 0.206
```